Entry 1:
Density functional theory data (PBE-GGA) for an optimized crystal structure of Sm4Ho4Er3.

Cell lengths 3.511, 5.619, 18.022 Å; angles 98.96, 95.58, 90.01 degrees
Space group P-1 (No. 2)
Unique sites:
Sm (0.090, 0.090, 0.180)
Sm (0.233, 0.733, 0.465)
Ho (0.045, 0.546, 0.091)
Ho (0.179, 0.180, 0.360)
Er (0.365, 0.364, 0.728)
Er (0.500, 0.000, 0.000)

Output
V: 349.5 Å³/cell
ΔE_f: 0.06 eV/atom
ΔE to the lowest computed polymorph: 0.0 meV per atom

Entry 2:
Density functional theory data (PBE-GGA) for an optimized crystal structure of TePBr2.

Cell lengths 7.983, 7.983, 11.406 Å; angles 90.00, 90.00, 90.00 degrees
Space group I-42d (No. 122)
Unique sites:
Te (0.000, 0.000, 0.000)
P (0.000, 0.000, 0.500)
Br (0.001, 0.250, 0.625)

Output
V: 726.8 Å³/cell
uncorrected formation energy: 0.624 eV per atom
ΔE to the lowest computed polymorph: 693.8 meV per atom

Entry 3:
Density functional theory data (PBE-GGA) for an optimized crystal structure of TbSm2Si3Pt12.

Cell lengths 8.3410, 8.3410, 17.9143 Å; angles 90.00, 90.00, 120.00 degrees
Space group R-3m (No. 166, hexagonal axes)
Unique sites:
Tb (0.0000, 0.0000, 0.0000)
Sm (0.0000, 0.0000, 0.4026)
Si (0.0000, 0.5000, 0.5000)
Pt (0.0325, 0.5162, 0.8668)
Pt (0.0334, 0.5167, 0.3687)

Output
V: 1079.4 Å³/cell
uncorrected formation energy: -0.556 eV per atom

Entry 4:
Density functional theory data (PBE-GGA) for an optimized crystal structure of LiBe2Ru.

Cell lengths 2.907, 4.251, 7.817 Å; angles 90.00, 90.00, 90.00 degrees
Space group Cmmm (No. 65)
Unique sites:
Li (0.000, 0.000, 0.000)
Be (0.000, 0.500, 0.270)
Ru (0.000, 0.000, 0.500)

Output
V: 96.6 Å³/cell
ΔE_f: 0.15 eV/atom

Entry 5:
Density functional theory data (PBE-GGA) for an optimized crystal structure of Hf5ZrFe4.

Cell lengths 3.153, 3.153, 16.907 Å; angles 90.00, 90.00, 90.00 degrees
Space group P4/mmm (No. 123)
Unique sites:
Hf (0.000, 0.000, 0.000)
Hf (0.000, 0.000, 0.185)
Hf (0.000, 0.000, 0.370)
Zr (0.500, 0.500, 0.500)
Fe (0.500, 0.500, 0.092)
Fe (0.500, 0.500, 0.277)

Output
V: 168.1 Å³/cell
ΔE_f: -0.24 eV/atom

Entry 6:
Density functional theory data (PBE-GGA) for an optimized crystal structure of Cr2HgW.

Cell lengths 3.105, 4.463, 8.829 Å; angles 90.00, 90.00, 90.00 degrees
Space group Cmm2 (No. 35)
Unique sites:
Cr (0.000, 0.000, 0.000)
Cr (0.000, 0.500, 0.198)
Hg (0.000, 0.500, 0.728)
W (0.000, 0.000, 0.432)

Output
V: 122.4 Å³/cell
ΔE_f: 0.52 eV/atom

Entry 7:
Density functional theory data (PBE-GGA) for an optimized crystal structure of BeZnAu5.

Cell lengths 4.061, 4.061, 7.085 Å; angles 90.00, 90.00, 90.00 degrees
Space group P4/mmm (No. 123)
Unique sites:
Be (0.000, 0.000, 0.000)
Zn (0.500, 0.500, 0.500)
Au (0.000, 0.000, 0.500)
Au (0.000, 0.500, 0.202)

Output
V: 116.8 Å³/cell
ΔE_f: -0.13 eV/atom

Entry 8:
Density functional theory data (PBE-GGA) for an optimized crystal structure of Y3Al3Hg2.

Cell lengths 4.533, 10.976, 14.950 Å; angles 90.00, 90.00, 90.00 degrees
Space group Cmcm (No. 63)
Unique sites:
Y (0.000, 0.082, 0.113)
Y (0.000, 0.355, 0.250)
Al (0.000, 0.362, 0.750)
Al (0.000, 0.393, 0.040)
Hg (0.000, 0.209, 0.602)

Output
V: 743.8 Å³/cell
ΔE_f: -0.46 eV/atom

One value per record, in order, for VASP energy: -4.5618; -2.3505; -6.2687; -4.5056; -9.4564; -7.6023; -3.1826; -4.3657 eV/atom.
One value per record, in order, for total moment: 0.0; 1.6; 0.0; 0.0; 0.2; 0.0; 0.0; 0.0 μB/f.u..